Below is a geometry-optimized AcCePm2S4 structure, with properties calculated at the PBE-GGA level.

abc: 4.086 7.124 7.124
angles: 109.29 90.00 90.00
Site moments in Bohr magnetons follow the coordinates.
Atoms (fractional coordinates):
1 Ac 0.000 0.000 0.000  0.01
2 Ce 0.500 0.500 0.000  0.74
3 Pm 0.500 0.000 0.500  -0.01
4 Pm 0.000 0.500 0.500  0.01
5 S 0.500 0.262 0.262  0.00
6 S 0.500 0.738 0.738  0.00
7 S 0.000 0.256 0.744  -0.01
8 S 0.000 0.744 0.256  -0.01

## Properties
D(E_F), states/eV/cell: 8.18
Symmetry: No. 10
E, eV per atom: -6.521

Below is a geometry-optimized Na4SmTl5 structure, with properties calculated at the PBE-GGA level.

abc: 3.809 3.809 19.365
angles: 90.00 90.00 90.00
Atoms (fractional coordinates):
1 Na 0.000 0.000 0.200
2 Na 0.000 0.000 0.399
3 Na 0.000 0.000 0.601
4 Na 0.000 0.000 0.800
5 Sm 0.000 0.000 0.000
6 Tl 0.500 0.500 0.103
7 Tl 0.500 0.500 0.298
8 Tl 0.500 0.500 0.500
9 Tl 0.500 0.500 0.702
10 Tl 0.500 0.500 0.897

## Properties
D(E_F), states/eV/cell: 7.34
Energy relative to the elements, meV/atom: -145
Symmetry: No. 123
E, eV per atom: -2.328

Below is a geometry-optimized LaCu2Re structure, with properties calculated at the PBE-GGA level.

abc: 4.844 4.844 5.689
angles: 81.85 81.85 33.57
Atoms (fractional coordinates):
1 Cu 0.986 0.986 0.079
2 Cu 0.514 0.514 0.421
3 La 0.750 0.750 0.750
4 Re 0.250 0.250 0.250

## Properties
D(E_F), states/eV/cell: 3.45
Energy above the most stable polymorph in this dataset, meV per atom: 56
Energy relative to the elements, meV/atom: 426
Symmetry: No. 12
E, eV per atom: -5.966

Below is a geometry-optimized Li3HgPd3 structure, with properties calculated at the PBE-GGA level.

abc: 4.538 7.399 7.399
angles: 120.00 90.00 90.00
Atoms (fractional coordinates):
1 Li 0.750 0.629 0.551
2 Li 0.750 0.449 0.078
3 Li 0.750 0.922 0.371
4 Li 0.250 0.371 0.449
5 Li 0.250 0.551 0.922
6 Li 0.250 0.078 0.629
7 Hg 0.250 0.667 0.333
8 Hg 0.750 0.333 0.667
9 Pd 0.250 0.798 0.762
10 Pd 0.250 0.238 0.036
11 Pd 0.250 0.964 0.202
12 Pd 0.750 0.202 0.238
13 Pd 0.750 0.762 0.964
14 Pd 0.750 0.036 0.798

## Properties
D(E_F), states/eV/cell: 6.80
Energy above the most stable polymorph in this dataset, meV per atom: 0
Energy relative to the elements, meV/atom: -364
Symmetry: No. 176
E, eV per atom: -3.453